No. 1
Below is crystalline Nd2GeMoN5 at its relaxed geometry, with properties calculated at the PBE level.

a b c (Å): 3.2306 14.3653 10.2365
angles (deg): 90.00 90.00 90.00
Last column: nearest neighbours and their distance in Å.
Space group Cmc2_1 (No. 36)
One atom of each set of equivalent atoms:
Nd: 0.0000 0.1123 0.0000 [4 per cell]  8 N 2.50-2.71
Nd: 0.0000 0.1321 0.5947 [4 per cell]  7 N 2.47-2.74
Ge: 0.0000 0.4510 0.7591 [4 per cell]  3 N 1.84-1.89
Mo: 0.0000 0.2251 0.3164 [4 per cell]  1 N 1.81
N: 0.0000 0.0462 0.3558 [4 per cell]  2 Ge 1.89
N: 0.0000 0.2870 0.9506 [4 per cell]  2 Mo 2.13
N: 0.0000 0.3176 0.6844 [4 per cell]  1 Ge 2.06, 2 Mo 2.19
N: 0.0000 0.3506 0.3052 [4 per cell]  1 Mo 1.81
N: 0.0000 0.4980 0.0944 [4 per cell]  1 Ge 1.84

Calculated values
The uncorrected energy is -8.116 eV per atom. The size of the total moment comes out at 0.00 μB per formula unit. Its crystal system is orthorhombic. Its uncorrected formation energy is -715 meV per atom.

---

No. 2
Below is crystalline TcAs3P at its relaxed geometry, with properties calculated at the PBE level.

a b c (Å): 4.6509 4.6509 4.6509
angles (deg): 90.00 90.00 90.00
Last column: nearest neighbours and their distance in Å.
Space group Pm-3m (No. 221)
One atom of each set of equivalent atoms:
Tc: 0.0000 0.0000 0.0000 [1 per cell]  12 As 3.29
As: 0.0000 0.5000 0.5000 [3 per cell]  2 P 2.33
P: 0.5000 0.5000 0.5000 [1 per cell]  6 As 2.33

Calculated values
The uncorrected energy is -4.846 eV per atom. The size of the total moment comes out at 2.32 μB per formula unit. The value obtained for the energy of formation is 1098.9 meV/atom. Its crystal system is cubic.

---

No. 3
Below is crystalline SbMoHI2 at its relaxed geometry, with properties calculated at the PBE level.

a b c (Å): 5.6987 5.6987 5.2384
angles (deg): 90.00 90.00 90.00
Last column: nearest neighbours and their distance in Å.
Space group P4/mmm (No. 123)
One atom of each set of equivalent atoms:
Sb: 0.0000 0.0000 0.0000 [1 per cell]  2 Mo 2.62
Mo: 0.0000 0.0000 0.5000 [1 per cell]  2 Sb 2.62, 4 I 2.85
H: 0.5000 0.5000 0.0000 [1 per cell]  8 I 3.87, 4 Sb 4.03
I: 0.0000 0.5000 0.5000 [2 per cell]  2 Mo 2.85

Calculated values
The uncorrected energy is -3.472 eV per atom. The size of the total moment comes out at 2.34 μB per formula unit. Its crystal system is tetragonal.

---

No. 4
Below is crystalline CuAgO2 at its relaxed geometry, with properties calculated at the PBE level.

a b c (Å): 5.5450 5.5450 5.5450
angles (deg): 90.00 90.00 90.00
Last column: nearest neighbours and their distance in Å.
Space group Fm-3m (No. 225)
One atom of each set of equivalent atoms:
Cu: 0.0000 0.0000 0.0000 [4 per cell]  8 O 2.40
Ag: 0.0000 0.0000 0.5000 [4 per cell]  8 O 2.40
O: 0.2500 0.2500 0.2500 [8 per cell]  4 Cu 2.40, 4 Ag 2.40

Calculated values
The uncorrected energy is -3.957 eV per atom. The size of the total moment comes out at 0.00 μB per formula unit. Its crystal system is cubic. Its uncorrected formation energy is 259 meV per atom.

---

No. 5
Below is crystalline K2PuCu2O6 at its relaxed geometry, with properties calculated at the PBE level.

a b c (Å): 5.8726 5.8726 6.5792
angles (deg): 90.00 90.00 120.00
Last column: nearest neighbours and their distance in Å.
Space group P-3 (No. 147)
One atom of each set of equivalent atoms:
K: 0.3333 0.6667 0.3359 [2 per cell]  3 O 2.69
Pu: 0.0000 0.0000 0.0000 [1 per cell]  6 O 2.06
Cu: 0.3333 0.6667 0.8349 [2 per cell]  3 O 1.85
O: 0.0815 0.3135 0.8146 [6 per cell]  1 Cu 1.85, 1 Pu 2.06

Calculated values
The uncorrected energy is -6.518 eV per atom. The size of the total moment comes out at 0.03 μB per formula unit. Its crystal system is trigonal. Its uncorrected formation energy is -1566 meV per atom.

---

No. 6
Below is crystalline Cd2Ge2I at its relaxed geometry, with properties calculated at the PBE level.

a b c (Å): 3.9380 3.9380 16.7562
angles (deg): 90.00 90.00 90.00
Last column: nearest neighbours and their distance in Å.
Space group I4/mmm (No. 139)
One atom of each set of equivalent atoms:
Cd: 0.0000 0.0000 0.1135 [4 per cell]  4 Ge 3.02, 4 I 3.37
Ge: 0.0000 0.5000 0.2500 [4 per cell]  4 Ge 2.78, 4 Cd 3.02
I: 0.0000 0.0000 0.5000 [2 per cell]  8 Cd 3.37

Calculated values
The uncorrected energy is -2.389 eV per atom. The size of the total moment comes out at 0.00 μB per formula unit. Its crystal system is tetragonal. Its uncorrected formation energy is 134 meV per atom.

---

No. 7
Below is crystalline SmPaCoBr at its relaxed geometry, with properties calculated at the PBE level.

a b c (Å): 3.9329 3.9329 47.9099
angles (deg): 90.00 90.00 120.00
Last column: nearest neighbours and their distance in Å.
Space group R-3m (No. 166, hexagonal axes)
One atom of each set of equivalent atoms:
Sm: 0.0000 0.0000 0.0858 [6 per cell]  3 Co 2.94, 3 Br 3.00
Pa: 0.0000 0.0000 0.3104 [6 per cell]  3 Co 2.54
Co: 0.0000 0.0000 0.3802 [6 per cell]  3 Pa 2.54
Br: 0.0000 0.0000 0.2065 [6 per cell]  3 Sm 3.00

Calculated values
The uncorrected energy is -6.490 eV per atom. The size of the total moment comes out at 0.00 μB per formula unit. Its crystal system is trigonal. Its uncorrected formation energy is -742 meV per atom.

---

No. 8
Below is crystalline Cu12PtAu3 at its relaxed geometry, with properties calculated at the PBE level.

a b c (Å): 3.7575 3.7575 15.1644
angles (deg): 90.00 90.00 90.00
Last column: nearest neighbours and their distance in Å.
Space group P4/mmm (No. 123)
One atom of each set of equivalent atoms:
Cu: 0.0000 0.0000 0.0000 [1 per cell]  8 Cu 2.63, 4 Pt 2.66
Cu: 0.0000 0.0000 0.2472 [2 per cell]  4 Au 2.66, 8 Cu 2.68
Cu: 0.0000 0.0000 0.5000 [1 per cell]  4 Au 2.66, 8 Cu 2.68
Cu: 0.0000 0.5000 0.1211 [4 per cell]  2 Pt 2.63, 8 Cu 2.63-2.68, 2 Au 2.68
Cu: 0.0000 0.5000 0.3735 [4 per cell]  8 Cu 2.66-2.68, 4 Au 2.68
Pt: 0.5000 0.5000 0.0000 [1 per cell]  12 Cu 2.63-2.66
Au: 0.5000 0.5000 0.2475 [2 per cell]  12 Cu 2.66-2.68
Au: 0.5000 0.5000 0.5000 [1 per cell]  12 Cu 2.66-2.68

Calculated values
The uncorrected energy is -4.135 eV per atom. The size of the total moment comes out at 0.00 μB per formula unit. The value obtained for the energy of formation is -70.6 meV/atom. Its crystal system is tetragonal.